Record 1
First-principles (PBE) data for crystalline NpSbP2 at its relaxed geometry, as listed in Alexandria via LeMat-Bulk.

Unit cell a=4.0256 b=4.0256 c=19.6076 alpha=90.00 beta=90.00 gamma=120.00
Closest atoms and distances in Å follow each position.
Space group R-3m (No. 166, hexagonal axes)
Asymmetric unit:
1 Np 0.0000 0.0000 0.0000 x3  6 P 2.79
2 Sb 0.0000 0.0000 0.5000 x3  6 P 2.89
3 P 0.0000 0.0000 0.2546 x6  3 Np 2.79, 3 Sb 2.89

M_tot ... 4.00 μB/f.u.
E ... -0.264 Ha/atom
Energy relative to the elements, uncorrected ... -0.8 eV/f.u.


Record 2
First-principles (PBE) data for crystalline LiAlPb2 at its relaxed geometry, as listed in Alexandria via LeMat-Bulk.

Unit cell a=4.2132 b=4.8048 c=4.8150 alpha=90.00 beta=90.00 gamma=90.00
Closest atoms and distances in Å follow each position.
Space group Pmmm (No. 47)
Asymmetric unit:
1 Li 0.0000 0.0000 0.0000 x1  8 Pb 3.20, 4 Al 3.40
2 Al 0.0000 0.5000 0.5000 x1  8 Pb 3.20, 4 Li 3.40
3 Pb 0.5000 0.0000 0.5000 x1  4 Al 3.20, 4 Li 3.20, 4 Pb 3.40
4 Pb 0.5000 0.5000 0.0000 x1  4 Li 3.20, 4 Al 3.20, 4 Pb 3.40

M_tot ... 0.00 μB/f.u.
E ... -0.120 Ha/atom
ΔE_f ... -6 meV/atom


Record 3
First-principles (PBE) data for crystalline Li2ScW at its relaxed geometry, as listed in Alexandria via LeMat-Bulk.

Unit cell a=4.5062 b=4.5062 c=3.0949 alpha=90.00 beta=90.00 gamma=90.00
Closest atoms and distances in Å follow each position.
Space group P4/mmm (No. 123)
Asymmetric unit:
1 Li 0.0000 0.5000 0.0000 x2  4 W 2.73, 4 Sc 2.73
2 Sc 0.0000 0.0000 0.5000 x1  8 Li 2.73
3 W 0.5000 0.5000 0.5000 x1  8 Li 2.73

M_tot ... 0.00 μB/f.u.
E ... -0.188 Ha/atom
ΔE_f ... 659 meV/atom
Energy above the lowest structure with this stoichiometry ... 384 meV/atom


Record 4
First-principles (PBE) data for crystalline LiPdI2N at its relaxed geometry, as listed in Alexandria via LeMat-Bulk.

Unit cell a=5.7768 b=5.7768 c=3.7990 alpha=90.00 beta=90.00 gamma=90.00
Closest atoms and distances in Å follow each position.
Space group P4/mmm (No. 123)
Asymmetric unit:
1 Li 0.0000 0.0000 0.0000 x1  8 I 3.46, 2 Li 3.80
2 Pd 0.5000 0.5000 0.5000 x1  2 N 1.90
3 I 0.0000 0.5000 0.5000 x2  2 Pd 2.89
4 N 0.5000 0.5000 0.0000 x1  2 Pd 1.90

M_tot ... 0.00 μB/f.u.
E ... -0.129 Ha/atom
Energy relative to the elements, uncorrected ... 1.0 eV/f.u.
Energy above the lowest structure with this stoichiometry ... 0 meV/atom


Record 5
First-principles (PBE) data for crystalline Y2PbAu at its relaxed geometry, as listed in Alexandria via LeMat-Bulk.

Unit cell a=3.6612 b=3.6612 c=7.7424 alpha=90.00 beta=90.00 gamma=90.00
Closest atoms and distances in Å follow each position.
Space group P4/mmm (No. 123)
Asymmetric unit:
1 Y 0.0000 0.0000 0.2275 x2  4 Au 3.13, 4 Pb 3.34
2 Pb 0.5000 0.5000 0.5000 x1  8 Y 3.34, 4 Pb 3.66
3 Au 0.5000 0.5000 0.0000 x1  8 Y 3.13

M_tot ... 0.00 μB/f.u.
E ... -0.207 Ha/atom
ΔE_f ... -654 meV/atom


Record 6
First-principles (PBE) data for crystalline RbInTe2I at its relaxed geometry, as listed in Alexandria via LeMat-Bulk.

Unit cell a=5.7530 b=5.7530 c=6.3692 alpha=90.00 beta=90.00 gamma=90.00
Closest atoms and distances in Å follow each position.
Space group P4/mmm (No. 123)
Asymmetric unit:
1 Rb 0.0000 0.0000 0.0000 x1  4 I 4.07, 8 Te 4.29
2 In 0.5000 0.5000 0.5000 x1  4 Te 2.88, 2 I 3.18
3 Te 0.0000 0.5000 0.5000 x2  2 In 2.88
4 I 0.5000 0.5000 0.0000 x1  2 In 3.18

M_tot ... 0.11 μB/f.u.
E ... -0.100 Ha/atom
Energy relative to the elements, uncorrected ... -2.0 eV/f.u.
Energy above the lowest structure with this stoichiometry ... 0 meV/atom


Record 7
First-principles (PBE) data for crystalline AgSbTe2 at its relaxed geometry, as listed in Alexandria via LeMat-Bulk.

Unit cell a=3.2107 b=4.2789 c=8.4575 alpha=90.00 beta=93.88 gamma=90.00
Closest atoms and distances in Å follow each position.
Space group P2/m (No. 10)
Asymmetric unit:
1 Ag 0.0000 0.0000 0.0000 x1  4 Te 2.91, 2 Ag 3.21
2 Sb 0.0000 0.0000 0.5000 x1  4 Te 3.12, 2 Sb 3.21
3 Te 0.0461 0.5000 0.7687 x2  2 Ag 2.91, 2 Sb 3.12, 2 Te 3.21

M_tot ... 0.00 μB/f.u.
E ... -0.122 Ha/atom
Energy relative to the elements, uncorrected ... 0.0 eV/f.u.


Record 8
First-principles (PBE) data for crystalline Hf4TcAs at its relaxed geometry, as listed in Alexandria via LeMat-Bulk.

Unit cell a=8.4720 b=8.4720 c=8.0057 alpha=90.00 beta=90.00 gamma=90.00
Closest atoms and distances in Å follow each position.
Space group I4_1md (No. 109)
Asymmetric unit:
1 Hf 0.0000 0.2926 0.0000 x8  2 Tc 2.48-2.63, 1 As 2.65
2 Hf 0.0000 0.3105 0.4917 x8  1 Tc 2.55, 2 As 2.63
3 Tc 0.0000 0.0000 0.9939 x4  6 Hf 2.48-2.63
4 As 0.0000 0.0000 0.5019 x4  6 Hf 2.63-2.65

M_tot ... 0.00 μB/f.u.
E ... -0.333 Ha/atom
ΔE_f ... 70 meV/atom


Record 9
First-principles (PBE) data for crystalline Hf12Rh5N2 at its relaxed geometry, as listed in Alexandria via LeMat-Bulk.

Unit cell a=15.2203 b=6.5560 c=7.7463 alpha=90.00 beta=105.09 gamma=90.00
Closest atoms and distances in Å follow each position.
Space group C2/m (No. 12)
Asymmetric unit:
1 Hf 0.0014 0.0000 0.2967 x4  2 N 2.20
2 Hf 0.0027 0.5000 0.3211 x4  2 N 2.24, 1 Rh 2.48
3 Hf 0.1422 0.2513 0.0613 x8  4 Rh 2.63-2.72
4 Hf 0.1572 0.2522 0.5892 x8  1 N 2.31
5 Rh 0.0000 0.5000 0.0000 x2  6 Hf 2.48-2.65
6 Rh 0.1921 0.0000 0.3371 x4  7 Hf 2.65-2.84
7 Rh 0.2095 0.0000 0.8641 x4  6 Hf 2.63-2.72
8 N 0.0000 0.2332 0.5000 x4  6 Hf 2.20-2.31

M_tot ... 0.00 μB/f.u.
E ... -0.358 Ha/atom
Energy relative to the elements, uncorrected ... -12.3 eV/f.u.


Record 10
First-principles (PBE) data for crystalline BeSiSb at its relaxed geometry, as listed in Alexandria via LeMat-Bulk.

Unit cell a=9.7294 b=6.5991 c=3.7642 alpha=90.00 beta=107.32 gamma=90.00
Closest atoms and distances in Å follow each position.
Space group C2 (No. 5)
Asymmetric unit:
1 Be 0.1152 0.0000 0.0988 x4  1 Be 2.14, 2 Si 2.29-2.35
2 Si 0.0000 0.1260 0.5000 x2  4 Be 2.29-2.35, 1 Si 2.38
3 Si 0.0000 0.4868 0.5000 x2  1 Si 2.38
4 Sb 0.1877 0.6400 0.1470 x4  2 Be 2.47-2.54, 2 Si 2.75-2.76

M_tot ... 0.00 μB/f.u.
E ... -0.152 Ha/atom
Energy relative to the elements, uncorrected ... 0.9 eV/f.u.
Energy above the lowest structure with this stoichiometry ... 101 meV/atom


Record 11
First-principles (PBE) data for crystalline YIn2Cl at its relaxed geometry, as listed in Alexandria via LeMat-Bulk.

Unit cell a=5.4502 b=5.4502 c=3.5951 alpha=90.00 beta=90.00 gamma=90.00
Closest atoms and distances in Å follow each position.
Space group P4/mmm (No. 123)
Asymmetric unit:
1 Y 0.0000 0.0000 0.0000 x1  8 In 3.26, 2 Y 3.60
2 In 0.0000 0.5000 0.5000 x2  4 Cl 3.26, 4 Y 3.26, 2 In 3.60
3 Cl 0.5000 0.5000 0.0000 x1  8 In 3.26, 2 Cl 3.60

M_tot ... 0.00 μB/f.u.
E ... -0.144 Ha/atom
Energy relative to the elements, uncorrected ... -1.9 eV/f.u.
Energy above the lowest structure with this stoichiometry ... 260 meV/atom


Record 12
First-principles (PBE) data for crystalline RbZrN2O at its relaxed geometry, as listed in Alexandria via LeMat-Bulk.

Unit cell a=4.3147 b=4.3147 c=4.0123 alpha=90.00 beta=90.00 gamma=90.00
Closest atoms and distances in Å follow each position.
Space group P4/mmm (No. 123)
Asymmetric unit:
1 Rb 0.0000 0.0000 0.0000 x1  2 O 2.01, 4 N 2.16
2 Zr 0.5000 0.5000 0.5000 x1  8 N 2.95, 4 O 3.05
3 N 0.0000 0.5000 0.0000 x2  2 Rb 2.16
4 O 0.0000 0.0000 0.5000 x1  2 Rb 2.01

M_tot ... 0.00 μB/f.u.
E ... -0.163 Ha/atom
Energy relative to the elements, uncorrected ... 8.9 eV/f.u.


Record 13
First-principles (PBE) data for crystalline YC5 at its relaxed geometry, as listed in Alexandria via LeMat-Bulk.

Unit cell a=6.3088 b=6.3088 c=6.3088 alpha=90.00 beta=90.00 gamma=90.00
Closest atoms and distances in Å follow each position.
Space group F-43m (No. 216)
Asymmetric unit:
1 Y 0.0000 0.0000 0.0000 x4  16 C 2.72-2.73
2 C 0.0872 0.0872 0.4128 x16  3 C 1.56
3 C 0.2500 0.2500 0.7500 x4  12 C 2.58, 4 Y 2.73

M_tot ... 0.89 μB/f.u.
E ... -0.247 Ha/atom
ΔE_f ... 2035 meV/atom
Energy above the lowest structure with this stoichiometry ... 1529 meV/atom


Record 14
First-principles (PBE) data for crystalline BPt2Au at its relaxed geometry, as listed in Alexandria via LeMat-Bulk.

Unit cell a=3.2928 b=3.2928 c=19.0110 alpha=90.00 beta=90.00 gamma=120.00
Closest atoms and distances in Å follow each position.
Space group R-3m (No. 166, hexagonal axes)
Asymmetric unit:
1 B 0.0000 0.0000 0.0000 x3  6 Pt 2.18
2 Pt 0.0000 0.0000 0.2772 x6  3 B 2.18
3 Au 0.0000 0.0000 0.5000 x3  6 Pt 2.83

M_tot ... 0.00 μB/f.u.
E ... -0.207 Ha/atom
ΔE_f ... -130 meV/atom


Record 15
First-principles (PBE) data for crystalline PmErCoBr at its relaxed geometry, as listed in Alexandria via LeMat-Bulk.

Unit cell a=6.7201 b=3.8825 c=8.0387 alpha=90.00 beta=106.23 gamma=90.00
Closest atoms and distances in Å follow each position.
Space group Cm (No. 8)
Asymmetric unit:
1 Pm 0.0000 0.0000 0.0000 x2  3 Co 2.70
2 Er 0.2073 0.0000 0.6210 x2  3 Co 2.65
3 Co 0.1018 0.5000 0.8051 x2  3 Er 2.65, 3 Pm 2.70
4 Br 0.2741 0.5000 0.3235 x2  3 Er 3.21, 3 Pm 3.35-3.36

M_tot ... 0.00 μB/f.u.
E ... -0.193 Ha/atom
Energy relative to the elements, uncorrected ... -2.9 eV/f.u.


Record 16
First-principles (PBE) data for crystalline Y12Er5Th2 at its relaxed geometry, as listed in Alexandria via LeMat-Bulk.

Unit cell a=15.5406 b=9.4335 c=8.5541 alpha=90.00 beta=91.47 gamma=90.00
Closest atoms and distances in Å follow each position.
Space group C2/m (No. 12)
Asymmetric unit:
1 Y 0.0582 0.0000 0.3252 x4  2 Th 3.34, 2 Er 3.36-3.45, 7 Y 3.42-3.54
2 Y 0.0844 0.5000 0.8791 x4  5 Y 3.38-3.65, 3 Er 3.47-3.51, 2 Th 3.50
3 Y 0.1277 0.1923 0.6582 x8  4 Er 3.40-3.75, 6 Y 3.42-3.81, 1 Th 3.58
4 Y 0.1524 0.3209 0.2392 x8  1 Th 3.38, 4 Y 3.38-3.65, 4 Er 3.52-3.70
5 Er 0.0000 0.5000 0.5000 x2  10 Y 3.47-3.75, 2 Er 3.63
6 Er 0.1964 0.0000 0.0160 x4  8 Y 3.45-3.69, 2 Th 3.47, 1 Er 3.65
7 Er 0.2313 0.5000 0.5743 x4  8 Y 3.36-3.52, 2 Er 3.63-3.65
8 Th 0.0000 0.1758 0.0000 x4  1 Th 3.32, 8 Y 3.34-3.58, 2 Er 3.47

M_tot ... 0.02 μB/f.u.
E ... -0.217 Ha/atom
ΔE_f ... 150 meV/atom
Energy above the lowest structure with this stoichiometry ... 123 meV/atom


Record 17
First-principles (PBE) data for crystalline LiAl4Fe at its relaxed geometry, as listed in Alexandria via LeMat-Bulk.

Unit cell a=7.2739 b=7.2739 c=7.2739 alpha=90.00 beta=90.00 gamma=90.00
Closest atoms and distances in Å follow each position.
Space group F-43m (No. 216)
Asymmetric unit:
1 Li 0.0000 0.0000 0.0000 x4  12 Al 3.02, 4 Fe 3.15
2 Al 0.1248 0.1248 0.3752 x16  6 Al 2.57-2.58
3 Fe 0.2500 0.2500 0.7500 x4  12 Al 3.02, 4 Li 3.15

M_tot ... 1.68 μB/f.u.
E ... -0.150 Ha/atom
ΔE_f ... 150 meV/atom


Record 18
First-principles (PBE) data for crystalline Rb2MgSnI6 at its relaxed geometry, as listed in Alexandria via LeMat-Bulk.

Unit cell a=8.3253 b=8.6225 c=14.5653 alpha=90.00 beta=124.83 gamma=90.00
Closest atoms and distances in Å follow each position.
Space group P2_1/c (No. 14)
Asymmetric unit:
1 Rb 0.2278 0.0733 0.2515 x4  8 I 3.71-4.13
2 Mg 0.5000 0.0000 0.0000 x2  6 I 2.96-2.99
3 Sn 0.0000 0.0000 0.5000 x2  6 I 3.19-3.22
4 I 0.1656 0.1908 0.9578 x4  1 Mg 2.98, 1 Sn 3.22
5 I 0.2696 0.7105 0.9578 x4  1 Mg 2.99, 1 Sn 3.21
6 I 0.3462 0.0093 0.7602 x4  1 Mg 2.96, 1 Sn 3.19

M_tot ... 0.00 μB/f.u.
E ... -0.100 Ha/atom
Energy relative to the elements, uncorrected ... -10.4 eV/f.u.
Energy above the lowest structure with this stoichiometry ... 0 meV/atom


Record 19
First-principles (PBE) data for crystalline Li2CaPmGe2 at its relaxed geometry, as listed in Alexandria via LeMat-Bulk.

Unit cell a=4.5323 b=4.5323 c=7.3824 alpha=90.00 beta=90.00 gamma=120.00
Closest atoms and distances in Å follow each position.
Space group P-3m1 (No. 164)
Asymmetric unit:
1 Li 0.3333 0.6667 0.2442 x2  3 Ge 2.62
2 Ca 0.0000 0.0000 0.0000 x1  6 Li 3.18, 6 Ge 3.28
3 Pm 0.0000 0.0000 0.5000 x1  6 Ge 3.13, 6 Li 3.23
4 Ge 0.3333 0.6667 0.7323 x2  3 Li 2.62

M_tot ... 0.00 μB/f.u.
E ... -0.143 Ha/atom
ΔE_f ... -586 meV/atom


Record 20
First-principles (PBE) data for crystalline BeAlSb2 at its relaxed geometry, as listed in Alexandria via LeMat-Bulk.

Unit cell a=7.4807 b=4.0407 c=6.8645 alpha=90.00 beta=113.82 gamma=90.00
Closest atoms and distances in Å follow each position.
Space group Cm (No. 8)
Asymmetric unit:
1 Be 0.0000 0.0000 0.0000 x2  4 Sb 2.45-2.50, 1 Al 2.70
2 Al 0.0402 0.0000 0.4095 x2  5 Sb 2.69-2.93, 1 Be 2.70
3 Sb 0.2963 0.5000 0.6088 x2  1 Be 2.50, 3 Al 2.69-2.74
4 Sb 0.3502 0.0000 0.0823 x2  3 Be 2.45-2.48

M_tot ... 0.00 μB/f.u.
E ... -0.140 Ha/atom
Energy relative to the elements, uncorrected ... 0.5 eV/f.u.
Energy above the lowest structure with this stoichiometry ... 47 meV/atom


Record 21
First-principles (PBE) data for crystalline Cd4HgSe5 at its relaxed geometry, as listed in Alexandria via LeMat-Bulk.

Unit cell a=4.3914 b=4.3914 c=53.7814 alpha=90.00 beta=90.00 gamma=120.00
Closest atoms and distances in Å follow each position.
Space group R3m (No. 160, hexagonal axes)
Asymmetric unit:
1 Cd 0.0000 0.0000 0.0000 x3  4 Se 2.68-2.69
2 Cd 0.0000 0.0000 0.1993 x3  4 Se 2.68-2.69
3 Cd 0.0000 0.0000 0.3997 x3  4 Se 2.69
4 Cd 0.0000 0.0000 0.7995 x3  4 Se 2.69
5 Hg 0.0000 0.0000 0.5993 x3  4 Se 2.70
6 Se 0.0000 0.0000 0.1493 x3  4 Cd 2.69
7 Se 0.0000 0.0000 0.3498 x3  4 Cd 2.68-2.69
8 Se 0.0000 0.0000 0.5491 x3  3 Cd 2.68, 1 Hg 2.70
9 Se 0.0000 0.0000 0.7495 x3  4 Cd 2.69
10 Se 0.0000 0.0000 0.9500 x3  1 Cd 2.69, 3 Hg 2.70

M_tot ... 0.00 μB/f.u.
E ... -0.099 Ha/atom
Energy relative to the elements, uncorrected ... -5.4 eV/f.u.


Record 22
First-principles (PBE) data for crystalline PmPr4Pt2 at its relaxed geometry, as listed in Alexandria via LeMat-Bulk.

Unit cell a=8.0732 b=6.6793 c=8.4114 alpha=90.00 beta=113.96 gamma=90.00
Closest atoms and distances in Å follow each position.
Space group P2_1/m (No. 11)
Asymmetric unit:
1 Pm 0.1498 0.2500 0.0283 x2  2 Pt 2.91-3.01
2 Pr 0.0104 0.2500 0.3818 x2  2 Pt 2.84-2.96
3 Pr 0.2545 0.7500 0.3520 x2  2 Pt 2.90-2.95
4 Pr 0.4122 0.0102 0.7717 x4  4 Pt 3.18-3.40, 3 Pr 3.20-3.52
5 Pt 0.2317 0.7500 0.9933 x2  6 Pr 2.95-3.29, 1 Pm 3.01
6 Pt 0.3693 0.2500 0.4008 x2  2 Pr 2.84-2.90, 1 Pm 2.91

M_tot ... 0.00 μB/f.u.
E ... -0.210 Ha/atom
ΔE_f ... -573 meV/atom


Record 23
First-principles (PBE) data for crystalline Na2AgRh at its relaxed geometry, as listed in Alexandria via LeMat-Bulk.

Unit cell a=6.7376 b=6.7376 c=6.7376 alpha=90.00 beta=90.00 gamma=90.00
Closest atoms and distances in Å follow each position.
Space group Fm-3m (No. 225)
Asymmetric unit:
1 Na 0.2500 0.2500 0.2500 x8  4 Rh 2.92, 4 Ag 2.92
2 Ag 0.0000 0.0000 0.0000 x4  8 Na 2.92
3 Rh 0.0000 0.0000 0.5000 x4  8 Na 2.92

M_tot ... 0.00 μB/f.u.
E ... -0.104 Ha/atom
ΔE_f ... 382 meV/atom
Energy above the lowest structure with this stoichiometry ... 42 meV/atom


Record 24
First-principles (PBE) data for crystalline Pm7Ag4Pb at its relaxed geometry, as listed in Alexandria via LeMat-Bulk.

Unit cell a=14.7192 b=5.8824 c=9.3236 alpha=90.00 beta=120.71 gamma=90.00
Closest atoms and distances in Å follow each position.
Space group C2/m (No. 12)
Asymmetric unit:
1 Pm 0.0000 0.0000 0.0000 x2  2 Pb 2.94, 4 Ag 2.97-3.16
2 Pm 0.0768 0.5000 0.4076 x4  3 Ag 3.01-3.19, 1 Pm 3.34, 1 Pb 3.37
3 Pm 0.1803 0.5000 0.8818 x4  6 Pm 3.34-3.68, 1 Pb 3.35, 3 Ag 3.46-3.64
4 Pm 0.2245 0.0000 0.6887 x4  4 Ag 2.96-3.26
5 Ag 0.0204 0.0000 0.6787 x4  4 Pm 2.96-3.19, 2 Ag 3.01-3.07
6 Ag 0.1902 0.0000 0.3405 x4  5 Pm 2.97-3.26, 1 Ag 3.01
7 Pb 0.0000 0.5000 0.0000 x2  2 Pm 2.94

M_tot ... 0.00 μB/f.u.
E ... -0.152 Ha/atom
ΔE_f ... -110 meV/atom